BeTcCl2 | the Alexandria database | GGA-PBE | optimized geometry; M_tot = 3.01 μB per formula unit; energy above the most stable polymorph in this dataset = 37.7 kJ per mole of atoms; symmetry = Imm2 (44); calculated density = 2.7 Mg/m³
1.0
-0.927 -5.773 2.299
2.744 1.444 5.464
-4.800 0.235 -4.046
Be Tc Cl
1 1 2
Direct
0.248 0.748 0.500 Be
0.474 0.474 0.000 Tc
0.100 0.100 0.000 Cl
0.677 0.177 0.500 Cl

PmNd5Sb6 | the Alexandria database | GGA-PBE | optimized geometry; M_tot = 0.00 μB per formula unit; symmetry = C2/m (12); calculated density = 6.8 Mg/m³; calculated total energy = -0.207 Ha/atom
1.0
7.826 0.214 0.000
2.409 7.449 0.000
1.204 3.724 6.780
Pm Nd Sb
1 5 6
Direct
0.000 0.000 0.000 Pm
0.500 0.167 0.666 Nd
0.000 0.333 0.333 Nd
0.500 0.500 0.000 Nd
0.000 0.667 0.667 Nd
0.500 0.833 0.334 Nd
0.751 0.083 0.332 Sb
0.249 0.585 0.332 Sb
0.249 0.249 0.000 Sb
0.751 0.751 0.000 Sb
0.751 0.415 0.668 Sb
0.249 0.917 0.668 Sb

RbMgSn | the Alexandria database | GGA-PBE | optimized geometry; M_tot = 0.00 μB per formula unit; formation energy = -0.14 eV per atom; energy above the most stable polymorph in this dataset = 4.8 kJ per mole of atoms; symmetry = I4/mmm (139); calculated density = 3.5 Mg/m³
1.0
-0.407 -1.312 -4.832
-2.080 -4.365 1.361
-15.803 7.328 -0.657
Rb Mg Sn
4 4 4
Direct
0.000 0.000 0.676 Rb
0.000 0.000 0.324 Rb
0.500 0.500 0.176 Rb
0.500 0.500 0.824 Rb
0.000 0.500 0.000 Mg
0.500 0.000 0.000 Mg
0.500 0.000 0.500 Mg
0.000 0.500 0.500 Mg
0.000 0.000 0.094 Sn
0.000 0.000 0.906 Sn
0.500 0.500 0.594 Sn
0.500 0.500 0.406 Sn

Y2MnPb | the Alexandria database | GGA-PBE | optimized geometry; M_tot = 1.20 μB per formula unit; formation energy = 0.15 eV per atom; symmetry = F-43m (216); calculated density = 7.6 Mg/m³
1.0
5.134 0.000 0.000
2.567 4.446 0.000
2.567 1.482 4.192
Mn Pb Y
1 1 2
Direct
0.500 0.500 0.500 Mn
0.750 0.750 0.750 Pb
0.000 0.000 0.000 Y
0.250 0.250 0.250 Y

How do the records compare in density of states at the Fermi level? In the order shown, they have 1.1, 1.8, 8.0, 3.3 states/eV per cell.